The following is a GGA-PBE calculation of an optimized crystal structure of Rb2BNO, from Alexandria.

a = 6.5068 Å, b = 2.9126 Å, c = 9.3443 Å
α = 90.00°, β = 109.47°, γ = 90.00°
Last column: nearest neighbours and their distance in Å.
Space group P2_1/m (No. 11)
One atom of each set of equivalent atoms:
Rb: 0.2260 0.2500 0.4192 x2  2 O 2.74, 2 Rb 2.91, 2 N 3.03
Rb: 0.2726 0.7500 0.0691 x2  3 O 2.77, 2 Rb 2.91
B: 0.2292 0.2500 0.7500 x2  1 O 1.38
N: 0.3177 0.7500 0.7182 x2  2 B 1.63
O: 0.0615 0.2500 0.8090 x2  1 B 1.38

- energy (eV/cell) = -51.92
- ρ (g/cm3) = 4.2
- Fermi-level density of states (states/eV/f.u.) = 0.0
- energy relative to the elements, uncorrected (eV per atom) = -0.812